(1)
First-principles (GGA-PBE) data for a relaxed KS crystal, as listed in the Alexandria database.

```
KS
1.0
8.579 0.000 0.000
-4.289 7.429 0.000
0.000 0.000 5.909
K S
6 6
direct
0.000 0.643 0.500
0.357 0.357 0.500
0.643 0.000 0.500
0.000 0.307 0.000
0.693 0.693 0.000
0.307 0.000 0.000
0.667 0.333 0.181
0.667 0.333 0.819
0.333 0.667 0.819
0.333 0.667 0.181
0.000 0.000 0.680
0.000 0.000 0.320
```

Calculated values
Total energy: -42.63 eV for the cell shown

***

(2)
First-principles (GGA-PBE) data for a relaxed Rb2PbF4 crystal, as listed in the Alexandria database.

```
Rb2PbF4
1.0
4.850 0.000 0.000
0.000 4.850 0.000
2.425 2.425 7.193
Pb Rb F
1 2 4
direct
0.000 0.000 0.000
0.354 0.354 0.291
0.646 0.646 0.709
0.169 0.169 0.661
0.831 0.831 0.339
0.000 0.500 0.000
0.500 0.000 0.000
```

Calculated values
Energy above the most stable polymorph in this dataset: 0.035 eV/atom
Total energy: -30.89 eV for the cell shown